Entry from Alexandria via LeMat-Bulk: a geometry-optimized Tl6CdHg structure (GGA-PBE).

a = 4.873 Å, b = 4.873 Å, c = 9.798 Å
α = 90.00°, β = 90.00°, γ = 90.00°
Fractional coordinates of all 8 atoms:
Tl 0.500 0.500 0.000
Tl 0.500 0.500 0.500
Tl 0.500 0.000 0.257
Tl 0.500 0.000 0.743
Tl 0.000 0.500 0.257
Tl 0.000 0.500 0.743
Cd 0.000 0.000 0.500
Hg 0.000 0.000 0.000

---

Entry from Alexandria via LeMat-Bulk: a geometry-optimized NiHgRu4 structure (GGA-PBE).

a = 5.136 Å, b = 5.136 Å, c = 5.136 Å
α = 60.00°, β = 60.00°, γ = 60.00°
Fractional coordinates of all 6 atoms:
Ni 0.000 0.000 0.000
Hg 0.750 0.750 0.750
Ru 0.876 0.375 0.375
Ru 0.375 0.375 0.876
Ru 0.375 0.876 0.375
Ru 0.375 0.375 0.375

---

Number 1: energy of formation from the pure elements 31 meV/atom, total moment 0.00 μB per formula unit. Number 2: energy of formation from the pure elements 753 meV/atom, total moment 4.22 μB per formula unit.